(1)
First-principles (GGA-PBE) data for crystalline LiAl2RhW at its relaxed geometry, as listed in the Alexandria database.

The structure belongs to space group P4/mmm (No. 123); the cell edges are 4.9555, 4.9555 and 4.6830 Å and the angles 90.00°, 90.00° and 90.00°. Symmetry generates all atoms from Li at (0.0000, 0.0000, 0.0000), Al at (0.0000, 0.5000, 0.5000), Rh at (0.5000, 0.5000, 0.0000) and W at (0.5000, 0.5000, 0.5000).

Its formation energy is 0.697 eV/atom. The total magnetization is 0.00 μB per atom. The calculated density is 5.02 Mg/m³.


(2)
First-principles (GGA-PBE) data for crystalline LiZr2AlRh at its relaxed geometry, as listed in the Alexandria database.

The structure belongs to space group P4/mmm (No. 123); the cell edges are 5.0945, 5.0945 and 4.4258 Å and the angles 90.00°, 90.00° and 90.00°. Symmetry generates all atoms from Li at (0.0000, 0.0000, 0.0000), Zr at (0.0000, 0.5000, 0.5000), Al at (0.5000, 0.5000, 0.5000) and Rh at (0.5000, 0.5000, 0.0000).

Its formation energy is 0.511 eV/atom. The total magnetization is 0.00 μB per atom. The calculated density is 4.62 Mg/m³.